# Be4Co2Ni | Alexandria via LeMat-Bulk | PBE | relaxed
# space-group type	No. 139
# calculated formation energy	46.7	kJ per mole of atoms
# calculated volume	76.3	Å³/f.u.
data_Be4Co2Ni
_chemical_formula_sum 'Be4 Co2 Ni1'
_cell_length_a 6.0914
_cell_length_b 6.0914
_cell_length_c 6.0914
_cell_angle_alpha 144.36
_cell_angle_beta 144.36
_cell_angle_gamma 51.29
_space_group_name_H-M_alt 'P 1'
_space_group_IT_number 1
_space_group_name_Hall 'P 1'
loop_
_atom_site_label
_atom_site_fract_x
_atom_site_fract_y
_atom_site_fract_z
_atom_site_occupancy
Be1 0.0000 0.5000 0.5000 1
Be2 0.1901 0.1901 0.0000 1
Be3 0.5000 0.0000 0.5000 1
Be4 0.8099 0.8099 0.0000 1
Co1 0.3840 0.3840 0.0000 1
Co2 0.6160 0.6160 0.0000 1
Ni1 0.0000 0.0000 0.0000 1